DFT (PBE-GGA) results for an optimized crystal structure of Al2CuAu.

Computed properties:
DFT formation energy in eV per formula unit: -0.60
D(E_F) in states/eV/f.u.: 1.66
Calculated volume in Å³ per cell: 187.5
E_tot in eV per atom: -3.87

The structure in CIF format:
```
data_Al2CuAu
_symmetry_space_group_name_H-M 'R -3 m'
_symmetry_Int_Tables_number 166
_symmetry_space_group_name_Hall '-R 3 2"'
_cell_length_a 2.9756
_cell_length_b 2.9756
_cell_length_c 24.4572
_cell_angle_alpha 90.00
_cell_angle_beta 90.00
_cell_angle_gamma 120.00
loop_
_atom_site_label
_atom_site_type_symbol
_atom_site_fract_x
_atom_site_fract_y
_atom_site_fract_z
_atom_site_occupancy
Al1 Al 0.0000 0.0000 0.2446 1
Cu1 Cu 0.0000 0.0000 0.5000 1
Au1 Au 0.0000 0.0000 0.0000 1
```

***

DFT (PBE-GGA) results for an optimized crystal structure of Al2CuAu.

Computed properties:
DFT formation energy in eV per formula unit: -0.44
D(E_F) in states/eV/f.u.: 0.75
Calculated volume in Å³ per cell: 64.3
E_tot in eV per atom: -3.83

The structure in CIF format:
```
data_Al2CuAu
_symmetry_space_group_name_H-M 'P 1 2/m 1'
_symmetry_Int_Tables_number 10
_cell_length_a 2.9941
_cell_length_b 4.3849
_cell_length_c 4.9086
_cell_angle_alpha 90.00
_cell_angle_beta 94.12
_cell_angle_gamma 90.00
loop_
_symmetry_equiv_pos_as_xyz
'x,y,z'
'-x,-y,-z'
'-x,y,-z'
'x,-y,z'
loop_
_atom_site_label
_atom_site_type_symbol
_atom_site_fract_x
_atom_site_fract_y
_atom_site_fract_z
_atom_site_occupancy
Al1 Al 0.2303 0.0000 0.2652 1
Cu1 Cu 0.5000 0.5000 0.5000 1
Au1 Au 0.0000 0.5000 0.0000 1
```